# 1
This record from Alexandria describes a relaxed structure of Pr6TmAl. The functional is PBE.

The structure in POSCAR format:
```
Pr6TmAl
1.0
5.0242 0.0000 0.0000
0.0000 5.0242 0.0000
0.0000 0.0000 10.2623
Pr Tm Al
6 1 1
Cartesian
0.0000 0.0000 0.0000
0.0000 0.0000 5.1312
0.0000 2.5121 2.4562
0.0000 2.5121 7.8061
2.5121 0.0000 2.4562
2.5121 0.0000 7.8061
2.5121 2.5121 5.1312
2.5121 2.5121 0.0000
```

E_tot (eV for the cell shown): -37.37
Mass density (Mg/m³): 6.7
DOS at the Fermi energy (states/eV/f.u.): 8.733
Formation energy from the elements (eV/atom): -0.060

---

# 2
This record from Alexandria describes a relaxed structure of Pr3TmAl8. The functional is PBE.

The structure in POSCAR format:
```
Pr3TmAl8
1.0
2.8300 1.6339 9.2810
-2.8300 1.6339 9.2810
0.0000 -3.2678 9.2810
Pr Tm Al
3 1 8
Cartesian
0.0000 0.0000 0.0000
0.0000 0.0000 3.4927
0.0000 0.0000 17.4008
0.0000 0.0000 13.9463
0.0000 -1.6313 6.3534
-1.4128 0.8157 6.3534
-1.4100 -0.8141 11.0647
0.0000 0.0000 8.6978
1.4128 0.8157 6.3534
1.4100 -0.8141 11.0647
0.0000 1.6282 11.0647
0.0000 0.0000 22.6429
```

E_tot (eV for the cell shown): -54.53
Mass density (Mg/m³): 5.2
DOS at the Fermi energy (states/eV/f.u.): 10.132
Formation energy from the elements (eV/atom): -0.482

---

Copy entry 1 word for word.
This record from Alexandria describes a relaxed structure of Pr6TmAl. The functional is PBE.

The structure in POSCAR format:
```
Pr6TmAl
1.0
5.0242 0.0000 0.0000
0.0000 5.0242 0.0000
0.0000 0.0000 10.2623
Pr Tm Al
6 1 1
Cartesian
0.0000 0.0000 0.0000
0.0000 0.0000 5.1312
0.0000 2.5121 2.4562
0.0000 2.5121 7.8061
2.5121 0.0000 2.4562
2.5121 0.0000 7.8061
2.5121 2.5121 5.1312
2.5121 2.5121 0.0000
```

E_tot (eV for the cell shown): -37.37
Mass density (Mg/m³): 6.7
DOS at the Fermi energy (states/eV/f.u.): 8.733
Formation energy from the elements (eV/atom): -0.060